Below is a geometry-optimized Sm2MgZn12Ni3 structure, with properties calculated at the GGA-PBE level.

The space group is R-3m (No. 166, hexagonal axes) and the conventional cell measures 8.2461, 8.2461 and 19.8292 Å, with angles of 90.00, 90.00 and 120.00 degrees. The distinct sites, in fractional coordinates, are Sm at (0.0000, 0.0000, 0.0905), Mg at (0.0000, 0.0000, 0.5000), Zn at (0.0257, 0.5128, 0.3352), Zn at (0.1000, 0.5500, 0.8855) and Ni at (0.0000, 0.5000, 0.0000).

The total magnetic moment is 0.00 μB per cell. The value obtained for the formation enthalpy at 0 K is 3.5 eV per formula unit.

Below is a geometry-optimized Ba2MgTa structure, with properties calculated at the GGA-PBE level.

The space group is I-4m2 (No. 119) and the conventional cell measures 5.722, 5.722 and 8.143 Å, with angles of 90.00, 90.00 and 90.00 degrees. The distinct sites, in fractional coordinates, are Ba at (0.000, 0.000, 0.000), Ba at (0.000, 0.500, 0.250), Mg at (0.000, 0.500, 0.750) and Ta at (0.000, 0.000, 0.500).

The total magnetic moment is 6.83 μB per cell. The value obtained for the formation enthalpy at 0 K is 3.6 eV per formula unit.

Below is a geometry-optimized LuThAgRu structure, with properties calculated at the GGA-PBE level.

The space group is F-43m (No. 216) and the conventional cell measures 7.114, 7.114 and 7.114 Å, with angles of 90.00, 90.00 and 90.00 degrees. The distinct sites, in fractional coordinates, are Lu at (0.000, 0.000, 0.000), Th at (0.000, 0.000, 0.500), Ag at (0.250, 0.250, 0.750) and Ru at (0.250, 0.250, 0.250).

The total magnetic moment is 0.00 μB per cell. The value obtained for the formation enthalpy at 0 K is -1.2 eV per formula unit.

Below is a geometry-optimized Na5Hg5Pb2 structure, with properties calculated at the GGA-PBE level.

The space group is C2/m (No. 12) and the conventional cell measures 12.165, 5.074 and 11.285 Å, with angles of 90.00, 112.91 and 90.00 degrees. The distinct sites, in fractional coordinates, are Na at (0.000, 0.000, 0.000), Na at (0.116, 0.000, 0.765), Na at (0.155, 0.000, 0.493), Hg at (0.000, 0.500, 0.500), Hg at (0.172, 0.500, 0.963), Hg at (0.244, 0.000, 0.273) and Pb at (0.084, 0.500, 0.253).

The total magnetic moment is 0.00 μB per cell. The value obtained for the formation enthalpy at 0 K is -2.3 eV per formula unit.

| no. | DFT total energy (eV/atom) |
| --- | --- |
| 1 | -2.233 |
| 2 | -3.418 |
| 3 | -6.306 |
| 4 | -1.481 |